No. 1
Below is AlCoSe2 after structural relaxation, with properties calculated at the PBE level.

Cell: 3.6638 3.6638 6.4686 Å, 73.51 73.51 59.96°
Last column: nearest neighbours and their distance in Å.
Positions (direct):
Se (0.9986, 0.9986, 0.0035)  3 Co 2.60, 3 Al 2.62
Co (0.2500, 0.2500, 0.2500)  6 Se 2.60
Se (0.5014, 0.5014, 0.4965)  3 Co 2.60, 3 Al 2.62
Al (0.7500, 0.7500, 0.7500)  6 Se 2.62

Results
As for the uncorrected formation energy: -241 meV per atom.

---

No. 2
Below is ZnBi2H after structural relaxation, with properties calculated at the PBE level.

Cell: 5.9158 5.9158 7.0240 Å, 65.10 65.10 90.00°
Last column: nearest neighbours and their distance in Å.
Positions (direct):
Zn (0.7500, 0.2500, 0.5000)  4 Bi 2.86
H (0.2500, 0.7500, 0.5000)  4 Bi 2.26
Bi (0.8750, 0.7868, 0.7500)  2 H 2.26
Bi (0.5368, 0.1250, 0.2500)  2 H 2.26
Bi (0.2132, 0.6250, 0.2500)  2 H 2.26
Zn (0.0000, 0.0000, 0.0000)  4 Bi 2.86
Bi (0.3750, 0.4632, 0.7500)  2 H 2.26
H (0.5000, 0.5000, 0.0000)  4 Bi 2.26

---

Table of electronic total energy (eV/atom), in record order: -4.696 -2.657